(1)
First-principles (PBE) data for an optimized crystal structure of SrY2AlF, as listed in Alexandria.

Formation energy from raw total energies ... -0.09 eV/atom
Fermi-level density of states ... 6.22 states/eV/cell
Spin magnetization ... 0.00 μB per formula unit

Unit cell a=5.5407 b=6.3294 c=5.5407 alpha=90.00 beta=90.00 gamma=90.00
Closest atoms and distances in Å follow each position.
Element x y z (fractional)
Y: 0.0000 0.0000 0.5000  2 Al 2.77
Y: 0.5000 0.0000 0.0000  2 Al 2.77
Sr: 0.0000 0.5000 0.0000  2 Al 3.16
Al: 0.0000 0.0000 0.0000  4 Y 2.77
F: 0.5000 0.5000 0.5000  4 Sr 3.92, 8 Y 4.21

=====

(2)
First-principles (PBE) data for an optimized crystal structure of Ta3AlF, as listed in Alexandria.

Formation energy from raw total energies ... 0.11 eV/atom
Fermi-level density of states ... 4.84 states/eV/cell
E above lowest polymorph ... 0 meV/atom
Spin magnetization ... 0.00 μB per formula unit

Unit cell a=4.3140 b=4.3140 c=4.3140 alpha=90.00 beta=90.00 gamma=90.00
Closest atoms and distances in Å follow each position.
Element x y z (fractional)
F: 0.0000 0.0000 0.0000  6 Ta 2.16
Al: 0.5000 0.5000 0.5000  12 Ta 3.05
Ta: 0.0000 0.5000 0.0000  2 F 2.16
Ta: 0.0000 0.0000 0.5000  2 F 2.16
Ta: 0.5000 0.0000 0.0000  2 F 2.16